Entry 1:
SrPRu2, optimized geometry, DFT PBE-GGA; spin magnetization = 0.00 μB per atom; final energy = -25.2 eV/cell; formation energy from the elements = 10.7 kJ per mole of atoms; SG = Immm
1.0
-1.5687 2.7010 4.4093
1.5687 -2.7010 4.4093
1.5687 2.7010 -4.4093
Sr P Ru
1 1 2
Direct
0.0000 0.0000 0.0000
0.5000 0.5000 0.0000
0.3131 0.8131 0.5000
0.6869 0.1869 0.5000



Entry 2:
BaPtW, optimized geometry, DFT PBE-GGA; spin magnetization = 0.00 μB per atom; energy above the lowest structure with this stoichiometry = 424 meV/atom; final energy = -78.1 eV/cell; formation energy from the elements = 44.8 kJ per mole of atoms; SG = Pnma
1.0
5.8652 0.0000 0.0000
0.0000 4.5611 0.0000
0.0000 0.0000 11.3339
Ba Pt W
4 4 4
Direct
0.0738 0.2500 0.1269
0.4262 0.7500 0.6269
0.5738 0.2500 0.3731
0.9262 0.7500 0.8731
0.0683 0.2500 0.4381
0.4317 0.7500 0.9381
0.5683 0.2500 0.0619
0.9317 0.7500 0.5619
0.0676 0.7500 0.3275
0.4324 0.2500 0.8275
0.5676 0.7500 0.1725
0.9324 0.2500 0.6725



Entry 3:
BeV2WSe, optimized geometry, DFT PBE-GGA; spin magnetization = 0.50 μB per atom; final energy = -32.2 eV/cell; SG = P4/mmm; raw formation energy = 1.2421 eV per atom
1.0
4.4487 0.0000 0.0000
0.0000 4.4487 0.0000
0.0000 0.0000 4.6013
Be V W Se
1 2 1 1
Direct
0.0000 0.0000 0.0000
0.0000 0.5000 0.5000
0.5000 0.0000 0.5000
0.5000 0.5000 0.0000
0.5000 0.5000 0.5000



Entry 4:
Na2CdTe2, optimized geometry, DFT PBE-GGA; spin magnetization = 0.00 μB per atom; energy above the lowest structure with this stoichiometry = 0 meV/atom; final energy = -26.9 eV/cell; SG = Ibam; raw formation energy = -0.7193 eV per atom
1.0
-3.7851 6.2214 3.4206
3.7851 -6.2214 3.4206
3.7851 6.2214 -3.4206
Na Cd Te
4 2 4
Direct
0.1289 0.1504 0.2793
0.3711 0.6504 0.0215
0.6289 0.3496 0.9785
0.8711 0.8496 0.7207
0.2500 0.7500 0.5000
0.7500 0.2500 0.5000
0.1244 0.7306 0.8549
0.3756 0.2306 0.6062
0.6244 0.7694 0.3938
0.8756 0.2694 0.1451